The following is a DFT calculation (PBE with a Hubbard U) of crystalline KFeF2 at its relaxed geometry.

Cell and atoms, written as POSCAR:
```
KFeF2
1.0
-0.559 2.328 3.587
1.808 3.901 0.343
-2.468 3.536 -0.087
K Fe F
1 1 2
Direct
0.000 0.000 0.000
0.500 0.500 0.500
0.250 0.250 0.250
0.750 0.750 0.750
```

Calculated values
- E_tot (eV per atom) = -4.15
- V (Å³/cell) = 57
- SG = Fm-3m